Run w
Below is a relaxed CaP2RhCl crystal, with properties calculated at the PBE level.

Structure (POSCAR):
```
CaP2RhCl
1.0
5.332 0.000 0.000
0.000 5.332 0.000
0.000 0.000 4.953
Ca P Rh Cl
1 2 1 1
Direct
0.000 0.000 0.000
0.000 0.500 0.000
0.500 0.000 0.000
0.500 0.500 0.500
0.000 0.000 0.500
```

Results
- density of states at the Fermi level (states/eV/f.u.) = 8.44
- theoretical density (Mg/m³) = 2.83
- total magnetization (μB per atom) = 0.109

=====

Run x
Below is a relaxed CaP2RhCl crystal, with properties calculated at the PBE level.

Structure (POSCAR):
```
CaP2RhCl
1.0
4.519 0.000 0.000
0.000 4.519 0.000
0.000 0.000 5.462
Ca P Rh Cl
1 2 1 1
Direct
0.000 0.000 0.000
0.000 0.500 0.500
0.500 0.000 0.500
0.500 0.500 0.500
0.500 0.500 0.000
```

Results
- density of states at the Fermi level (states/eV/f.u.) = 2.82
- theoretical density (Mg/m³) = 3.58
- total magnetization (μB per atom) = 0.000

=====

So which one is most stable? That would be run x, about 1.369 eV/atom below the next structure.

=====

Run w
Below is a relaxed CaPRuCl2 crystal, with properties calculated at the PBE level.

Structure (POSCAR):
```
CaPRuCl2
1.0
5.025 0.000 0.000
0.000 5.025 0.000
0.000 0.000 5.877
Ca P Ru Cl
1 1 1 2
Direct
0.000 0.000 0.000
0.000 0.000 0.500
0.500 0.500 0.500
0.000 0.500 0.000
0.500 0.000 0.000
```

Results
- density of states at the Fermi level (states/eV/f.u.) = 5.10
- theoretical density (Mg/m³) = 2.72
- total magnetization (μB per atom) = 0.909

=====

Run x
Below is a relaxed CaPRuCl2 crystal, with properties calculated at the PBE level.

Structure (POSCAR):
```
CaPRuCl2
1.0
4.977 0.000 0.000
0.000 4.977 0.000
0.000 0.000 4.505
Ca P Ru Cl
1 1 1 2
Direct
0.000 0.000 0.000
0.500 0.500 0.000
0.500 0.500 0.500
0.000 0.500 0.500
0.500 0.000 0.500
```

Results
- density of states at the Fermi level (states/eV/f.u.) = 2.34
- theoretical density (Mg/m³) = 3.62
- total magnetization (μB per atom) = 0.000

=====

So which one is most stable? That would be run x, about 0.897 eV/atom below the next structure.

=====

Run w
Below is a relaxed CaSiPCl2 crystal, with properties calculated at the PBE level.

Structure (POSCAR):
```
CaSiPCl2
1.0
4.854 0.000 0.000
0.000 4.854 0.000
0.000 0.000 4.737
Ca Si P Cl
1 1 1 2
Direct
0.000 0.000 0.000
0.500 0.500 0.500
0.500 0.500 0.000
0.000 0.500 0.500
0.500 0.000 0.500
```

Results
- density of states at the Fermi level (states/eV/f.u.) = 1.26
- theoretical density (Mg/m³) = 2.53
- total magnetization (μB per atom) = 0.000

=====

Run x
Below is a relaxed CaSiPCl2 crystal, with properties calculated at the PBE level.

Structure (POSCAR):
```
CaSiPCl2
1.0
5.031 0.000 0.000
0.000 5.031 0.000
0.000 0.000 5.963
Ca Si P Cl
1 1 1 2
Direct
0.000 0.000 0.000
0.500 0.500 0.500
0.000 0.000 0.500
0.000 0.500 0.000
0.500 0.000 0.000
```

Results
- density of states at the Fermi level (states/eV/f.u.) = 1.99
- theoretical density (Mg/m³) = 1.87
- total magnetization (μB per atom) = 0.202

=====

So which one is most stable? That would be run w, about 0.510 eV/atom below the next structure.

=====

Run w
Below is a relaxed CaSnP2Cl crystal, with properties calculated at the PBE level.

Structure (POSCAR):
```
CaSnP2Cl
1.0
5.022 0.000 0.000
0.000 5.022 0.000
0.000 0.000 5.331
Ca Sn P Cl
1 1 2 1
Direct
0.000 0.000 0.000
0.500 0.500 0.500
0.000 0.500 0.500
0.500 0.000 0.500
0.500 0.500 0.000
```

Results
- density of states at the Fermi level (states/eV/f.u.) = 2.74
- theoretical density (Mg/m³) = 3.16
- total magnetization (μB per atom) = 0.000

=====

Run x
Below is a relaxed CaSnP2Cl crystal, with properties calculated at the PBE level.

Structure (POSCAR):
```
CaSnP2Cl
1.0
5.326 0.000 0.000
0.000 5.326 0.000
0.000 0.000 5.080
Ca Sn P Cl
1 1 2 1
Direct
0.000 0.000 0.000
0.500 0.500 0.500
0.000 0.500 0.000
0.500 0.000 0.000
0.000 0.000 0.500
```

Results
- density of states at the Fermi level (states/eV/f.u.) = 5.08
- theoretical density (Mg/m³) = 2.95
- total magnetization (μB per atom) = 0.158

=====

So which one is most stable? That would be run w, about 0.364 eV/atom below the next structure.

=====

Run w
Below is a relaxed SrCaP2Cl crystal, with properties calculated at the PBE level.

Structure (POSCAR):
```
SrCaP2Cl
1.0
5.256 0.000 0.000
0.000 5.256 0.000
0.000 0.000 5.296
Sr Ca P Cl
1 1 2 1
Direct
0.000 0.000 0.000
0.500 0.500 0.500
0.000 0.500 0.500
0.500 0.000 0.500
0.500 0.500 0.000
```

Results
- density of states at the Fermi level (states/eV/f.u.) = 5.08
- theoretical density (Mg/m³) = 2.56
- total magnetization (μB per atom) = 0.136

=====

Run x
Below is a relaxed SrCaP2Cl crystal, with properties calculated at the PBE level.

Structure (POSCAR):
```
SrCaP2Cl
1.0
5.437 0.000 0.000
0.000 5.437 0.000
0.000 0.000 5.435
Sr Ca P Cl
1 1 2 1
Direct
0.000 0.000 0.000
0.500 0.500 0.500
0.000 0.500 0.000
0.500 0.000 0.000
0.000 0.000 0.500
```

Results
- density of states at the Fermi level (states/eV/f.u.) = 5.99
- theoretical density (Mg/m³) = 2.33
- total magnetization (μB per atom) = 0.015

=====

So which one is most stable? That would be run w, about 0.332 eV/atom below the next structure.

=====

Run w
Below is a relaxed SrCaPCl2 crystal, with properties calculated at the PBE level.

Structure (POSCAR):
```
SrCaPCl2
1.0
5.361 0.000 0.000
0.000 5.361 0.000
0.000 0.000 5.984
Sr Ca P Cl
1 1 1 2
Direct
0.000 0.000 0.000
0.500 0.500 0.500
0.000 0.000 0.500
0.000 0.500 0.000
0.500 0.000 0.000
```

Results
- density of states at the Fermi level (states/eV/f.u.) = 3.41
- theoretical density (Mg/m³) = 2.22
- total magnetization (μB per atom) = 0.203

=====

Run x
Below is a relaxed SrCaPCl2 crystal, with properties calculated at the PBE level.

Structure (POSCAR):
```
SrCaPCl2
1.0
5.147 0.000 0.000
0.000 5.147 0.000
0.000 0.000 5.719
Sr Ca P Cl
1 1 1 2
Direct
0.000 0.000 0.000
0.500 0.500 0.500
0.500 0.500 0.000
0.000 0.500 0.500
0.500 0.000 0.500
```

Results
- density of states at the Fermi level (states/eV/f.u.) = 3.85
- theoretical density (Mg/m³) = 2.52
- total magnetization (μB per atom) = 0.201

=====

So which one is most stable? That would be run x, about 0.288 eV/atom below the next structure.

=====

Run w
Below is a relaxed CaTaP2Cl crystal, with properties calculated at the PBE level.

Structure (POSCAR):
```
CaTaP2Cl
1.0
5.141 0.000 0.000
0.000 5.141 0.000
0.000 0.000 4.811
Ca Ta P Cl
1 1 2 1
Direct
0.000 0.000 0.000
0.500 0.500 0.500
0.000 0.500 0.000
0.500 0.000 0.000
0.000 0.000 0.500
```

Results
- density of states at the Fermi level (states/eV/f.u.) = 6.31
- theoretical density (Mg/m³) = 4.16
- total magnetization (μB per atom) = 0.354

=====

Run x
Below is a relaxed CaTaP2Cl crystal, with properties calculated at the PBE level.

Structure (POSCAR):
```
CaTaP2Cl
1.0
4.866 0.000 0.000
0.000 4.866 0.000
0.000 0.000 4.867
Ca Ta P Cl
1 1 2 1
Direct
0.000 0.000 0.000
0.500 0.500 0.500
0.000 0.500 0.500
0.500 0.000 0.500
0.500 0.500 0.000
```

Results
- density of states at the Fermi level (states/eV/f.u.) = 1.11
- theoretical density (Mg/m³) = 4.59
- total magnetization (μB per atom) = 0.000

=====

So which one is most stable? That would be run x, about 1.663 eV/atom below the next structure.

=====

Run w
Below is a relaxed CaTaPCl2 crystal, with properties calculated at the PBE level.

Structure (POSCAR):
```
CaTaPCl2
1.0
4.808 0.000 0.000
0.000 4.808 0.000
0.000 0.000 5.025
Ca Ta P Cl
1 1 1 2
Direct
0.000 0.000 0.000
0.500 0.500 0.500
0.500 0.500 0.000
0.000 0.500 0.500
0.500 0.000 0.500
```

Results
- density of states at the Fermi level (states/eV/f.u.) = 2.61
- theoretical density (Mg/m³) = 4.62
- total magnetization (μB per atom) = 0.000

=====

Run x
Below is a relaxed CaTaPCl2 crystal, with properties calculated at the PBE level.

Structure (POSCAR):
```
CaTaPCl2
1.0
4.856 0.000 0.000
0.000 4.856 0.000
0.000 0.000 6.089
Ca Ta P Cl
1 1 1 2
Direct
0.000 0.000 0.000
0.500 0.500 0.500
0.000 0.000 0.500
0.000 0.500 0.000
0.500 0.000 0.000
```

Results
- density of states at the Fermi level (states/eV/f.u.) = 7.50
- theoretical density (Mg/m³) = 3.73
- total magnetization (μB per atom) = 0.399

=====

So which one is most stable? That would be run w, about 1.002 eV/atom below the next structure.

=====

Run w
Below is a relaxed CaTcP2Cl crystal, with properties calculated at the PBE level.

Structure (POSCAR):
```
CaTcP2Cl
1.0
5.287 0.000 0.000
0.000 5.287 0.000
0.000 0.000 4.997
Ca Tc P Cl
1 1 2 1
Direct
0.000 0.000 0.000
0.500 0.500 0.500
0.000 0.500 0.000
0.500 0.000 0.000
0.000 0.000 0.500
```

Results
- density of states at the Fermi level (states/eV/f.u.) = 2.77
- theoretical density (Mg/m³) = 2.80
- total magnetization (μB per atom) = 0.757

=====

Run x
Below is a relaxed CaTcP2Cl crystal, with properties calculated at the PBE level.

Structure (POSCAR):
```
CaTcP2Cl
1.0
4.563 0.000 0.000
0.000 4.563 0.000
0.000 0.000 5.247
Ca Tc P Cl
1 1 2 1
Direct
0.000 0.000 0.000
0.500 0.500 0.500
0.000 0.500 0.500
0.500 0.000 0.500
0.500 0.500 0.000
```

Results
- density of states at the Fermi level (states/eV/f.u.) = 2.51
- theoretical density (Mg/m³) = 3.58
- total magnetization (μB per atom) = 0.000

=====

So which one is most stable? That would be run x, about 1.415 eV/atom below the next structure.

=====

Run w
Below is a relaxed CaTiPCl2 crystal, with properties calculated at the PBE level.

Structure (POSCAR):
```
CaTiPCl2
1.0
4.748 0.000 0.000
0.000 4.748 0.000
0.000 0.000 4.987
Ca Ti P Cl
1 1 1 2
Direct
0.000 0.000 0.000
0.500 0.500 0.500
0.500 0.500 0.000
0.000 0.500 0.500
0.500 0.000 0.500
```

Results
- density of states at the Fermi level (states/eV/f.u.) = 2.36
- theoretical density (Mg/m³) = 2.80
- total magnetization (μB per atom) = 0.049

=====

Run x
Below is a relaxed CaTiPCl2 crystal, with properties calculated at the PBE level.

Structure (POSCAR):
```
CaTiPCl2
1.0
4.962 0.000 0.000
0.000 4.962 0.000
0.000 0.000 5.889
Ca Ti P Cl
1 1 1 2
Direct
0.000 0.000 0.000
0.500 0.500 0.500
0.000 0.000 0.500
0.000 0.500 0.000
0.500 0.000 0.000
```

Results
- density of states at the Fermi level (states/eV/f.u.) = 8.52
- theoretical density (Mg/m³) = 2.17
- total magnetization (μB per atom) = 0.199

=====

So which one is most stable? That would be run w, about 0.848 eV/atom below the next structure.

=====

Run w
Below is a relaxed CaTlPCl2 crystal, with properties calculated at the PBE level.

Structure (POSCAR):
```
CaTlPCl2
1.0
5.359 0.000 0.000
0.000 5.359 0.000
0.000 0.000 5.209
Ca Tl P Cl
1 1 1 2
Direct
0.000 0.000 0.000
0.500 0.500 0.500
0.500 0.500 0.000
0.000 0.500 0.500
0.500 0.000 0.500
```

Results
- density of states at the Fermi level (states/eV/f.u.) = 4.56
- theoretical density (Mg/m³) = 3.84
- total magnetization (μB per atom) = 0.085

=====

Run x
Below is a relaxed CaTlPCl2 crystal, with properties calculated at the PBE level.

Structure (POSCAR):
```
CaTlPCl2
1.0
5.348 0.000 0.000
0.000 5.348 0.000
0.000 0.000 5.801
Ca Tl P Cl
1 1 1 2
Direct
0.000 0.000 0.000
0.500 0.500 0.500
0.000 0.000 0.500
0.000 0.500 0.000
0.500 0.000 0.000
```

Results
- density of states at the Fermi level (states/eV/f.u.) = 1.73
- theoretical density (Mg/m³) = 3.47
- total magnetization (μB per atom) = 0.400

=====

So which one is most stable? That would be run x, about 0.399 eV/atom below the next structure.

=====

Run w
Below is a relaxed CaVP2Cl crystal, with properties calculated at the PBE level.

Structure (POSCAR):
```
CaVP2Cl
1.0
5.203 0.000 0.000
0.000 5.203 0.000
0.000 0.000 4.946
Ca V P Cl
1 1 2 1
Direct
0.000 0.000 0.000
0.500 0.500 0.500
0.000 0.500 0.000
0.500 0.000 0.000
0.000 0.000 0.500
```

Results
- density of states at the Fermi level (states/eV/f.u.) = 6.75
- theoretical density (Mg/m³) = 2.34
- total magnetization (μB per atom) = 0.011

=====

Run x
Below is a relaxed CaVP2Cl crystal, with properties calculated at the PBE level.

Structure (POSCAR):
```
CaVP2Cl
1.0
4.552 0.000 0.000
0.000 4.552 0.000
0.000 0.000 5.044
Ca V P Cl
1 1 2 1
Direct
0.000 0.000 0.000
0.500 0.500 0.500
0.000 0.500 0.500
0.500 0.000 0.500
0.500 0.500 0.000
```

Results
- density of states at the Fermi level (states/eV/f.u.) = 3.31
- theoretical density (Mg/m³) = 2.99
- total magnetization (μB per atom) = 0.170

=====

So which one is most stable? That would be run x, about 1.562 eV/atom below the next structure.